A relaxed Gd2InSi crystal, computed with PBE. Values from VASP.

Quantum ESPRESSO input file:
```
&SYSTEM
  ibrav = 0, nat = 4, ntyp = 3
/
ATOMIC_SPECIES
In 114.82 In.upf
Si 28.09 Si.upf
Gd 157.25 Gd.upf
CELL_PARAMETERS angstrom
-1.1806 -1.7257 -3.7337
-0.4404 -4.2699 2.1128
-4.5775 0.9672 1.0004
ATOMIC_POSITIONS crystal
In 0.5000 0.5000 0.5000
Si 0.5000 0.0000 0.0000
Gd 0.0000 0.0000 0.5000
Gd 0.0000 0.5000 0.0000
```

Uncorrected formation energy (eV per formula unit): -1.85
Excess energy over the best structure of this formula in the dataset (eV per atom): 0.0311
Space group: P4/mmm, No. 123
D(E_F) (states/eV per atom): 0.787
Density (g cm⁻³): 7.75

=====

A relaxed ZnRuRh crystal, computed with PBE. Values from VASP.

Quantum ESPRESSO input file:
```
&SYSTEM
  ibrav = 0, nat = 3, ntyp = 3
/
ATOMIC_SPECIES
Ru 101.07 Ru.upf
Zn 65.41 Zn.upf
Rh 102.91 Rh.upf
CELL_PARAMETERS angstrom
-1.1557 -0.2622 -2.4600
0.2183 -2.1691 1.6441
-5.8344 1.3789 2.5940
ATOMIC_POSITIONS crystal
Ru 0.6667 0.3333 0.3296
Zn 0.3333 0.6667 0.6678
Rh 0.0000 0.0000 0.0026
```

Excess energy over the best structure of this formula in the dataset (eV per atom): 0.0364
Space group: P3m1, No. 156
Energy of formation from the pure elements (eV per formula unit): -0.115
D(E_F) (states/eV per atom): 1.109
Density (g cm⁻³): 10.61

=====

A relaxed SmDySc4 crystal, computed with PBE. Values from VASP.

Quantum ESPRESSO input file:
```
&SYSTEM
  ibrav = 0, nat = 12, ntyp = 3
/
ATOMIC_SPECIES
Sc 44.96 Sc.upf
Dy 162.50 Dy.upf
Sm 150.36 Sm.upf
CELL_PARAMETERS angstrom
3.3955 0.0000 0.0000
-1.6977 8.7791 0.0000
0.0000 0.0000 10.8867
ATOMIC_POSITIONS crystal
Sc 0.8948 0.7896 0.0144
Sc 0.1052 0.2104 0.5144
Sc 0.6622 0.3243 0.2755
Sc 0.9966 0.9932 0.7684
Sc 0.3378 0.6757 0.7755
Sc 0.4487 0.8974 0.5198
Sc 0.0034 0.0068 0.2684
Sc 0.5513 0.1026 0.0198
Dy 0.3376 0.6751 0.2619
Dy 0.6624 0.3249 0.7619
Sm 0.7802 0.5604 0.5209
Sm 0.2198 0.4396 0.0209
```

Excess energy over the best structure of this formula in the dataset (eV per atom): 0.0000
Space group: Cmc2_1, No. 36
Energy of formation from the pure elements (eV per formula unit): 0.257
D(E_F) (states/eV per atom): 1.645
Density (g cm⁻³): 5.04

=====

A relaxed FeSbTe2 crystal, computed with PBE. Values from VASP.

Quantum ESPRESSO input file:
```
&SYSTEM
  ibrav = 0, nat = 4, ntyp = 3
/
ATOMIC_SPECIES
Te 127.60 Te.upf
Fe 55.84 Fe.upf
Sb 121.76 Sb.upf
CELL_PARAMETERS angstrom
3.3337 -0.1196 0.0000
-1.2617 3.0881 0.0000
0.0000 0.0000 9.8334
ATOMIC_POSITIONS crystal
Te 0.0000 0.0000 0.0570
Te 0.0000 0.0000 0.4430
Fe 0.5000 0.5000 0.2500
Sb 0.5000 0.5000 0.7500
```

Uncorrected formation energy (eV per formula unit): 1.41
Space group: Cmmm, No. 65
D(E_F) (states/eV per atom): 1.034
Density (g cm⁻³): 7.20

=====

A relaxed Ce2HRh4Pb2 crystal, computed with PBE. Values from VASP.

Quantum ESPRESSO input file:
```
&SYSTEM
  ibrav = 0, nat = 9, ntyp = 4
/
ATOMIC_SPECIES
Pb 207.20 Pb.upf
Rh 102.91 Rh.upf
Ce 140.12 Ce.upf
H 1.01 H.upf
CELL_PARAMETERS angstrom
-5.9501 0.0794 0.0569
2.2111 -5.3492 1.3824
2.3566 3.6070 4.1049
ATOMIC_POSITIONS crystal
Pb 0.5000 0.7500 0.2500
Pb 0.5000 0.2500 0.7500
Rh 0.5656 0.7828 0.7828
Rh 0.0000 0.7828 0.2172
Rh 0.4344 0.2172 0.2172
Rh 0.0000 0.2172 0.7828
Ce 0.0000 0.3123 0.3123
Ce 0.0000 0.6877 0.6877
H 0.0000 0.0000 0.0000
```

Space group: I4/mmm, No. 139
D(E_F) (states/eV per atom): 0.903
Density (g cm⁻³): 11.42
Total DFT energy (no corrections) (eV/atom): -6.155

=====

A relaxed PuGa2Pt4 crystal, computed with PBE. Values from VASP.

Quantum ESPRESSO input file:
```
&SYSTEM
  ibrav = 0, nat = 7, ntyp = 3
/
ATOMIC_SPECIES
Pt 195.08 Pt.upf
Ga 69.72 Ga.upf
Pu 244.00 Pu.upf
CELL_PARAMETERS angstrom
-0.8088 -1.9263 5.0466
4.2213 -0.9736 3.1659
-2.3509 4.9293 0.0899
ATOMIC_POSITIONS crystal
Pt 0.4131 0.2932 0.9994
Pt 0.9994 0.7068 0.4131
Pt 0.5869 0.7068 0.0006
Pt 0.0006 0.2932 0.5869
Ga 0.5004 0.7495 0.4996
Ga 0.4996 0.2505 0.5004
Pu 0.0000 0.0000 0.0000
```

Excess energy over the best structure of this formula in the dataset (eV per atom): 0.0212
Space group: C2/m, No. 12
Energy of formation from the pure elements (eV per formula unit): -4.640
D(E_F) (states/eV per atom): 1.528
Density (g cm⁻³): 15.94

=====

A relaxed NbZn2C crystal, computed with PBE. Values from VASP.

Quantum ESPRESSO input file:
```
&SYSTEM
  ibrav = 0, nat = 8, ntyp = 3
/
ATOMIC_SPECIES
Nb 92.91 Nb.upf
Zn 65.41 Zn.upf
C 12.01 C.upf
CELL_PARAMETERS angstrom
7.0173 0.0000 0.0000
0.0000 7.0173 0.0000
3.5087 3.5087 2.2305
ATOMIC_POSITIONS crystal
Nb 0.0000 0.0000 0.0000
Nb 0.7500 0.2500 0.5000
Zn 0.2031 0.6250 0.2500
Zn 0.8750 0.7969 0.7500
Zn 0.5469 0.1250 0.2500
Zn 0.3750 0.4531 0.7500
C 0.2500 0.7500 0.5000
C 0.5000 0.5000 0.0000
```

Space group: I-42d, No. 122
Energy of formation from the pure elements (eV per formula unit): 1.935
D(E_F) (states/eV per atom): 0.356
Density (g cm⁻³): 7.13

=====

A relaxed Ba4Cd2Pt crystal, computed with PBE. Values from VASP.

Quantum ESPRESSO input file:
```
&SYSTEM
  ibrav = 0, nat = 7, ntyp = 3
/
ATOMIC_SPECIES
Cd 112.41 Cd.upf
Ba 137.33 Ba.upf
Pt 195.08 Pt.upf
CELL_PARAMETERS angstrom
-1.8362 -4.4647 -3.4955
3.8110 -3.6924 2.7142
-5.9594 -6.3931 6.2147
ATOMIC_POSITIONS crystal
Cd 0.8626 0.8626 0.2749
Cd 0.1374 0.1374 0.7251
Ba 0.0000 0.5000 0.0000
Ba 0.6849 0.6849 0.6302
Ba 0.5000 0.0000 0.0000
Ba 0.3151 0.3151 0.3698
Pt 0.0000 0.0000 0.0000
```

Excess energy over the best structure of this formula in the dataset (eV per atom): 0.1699
Space group: I4/mmm, No. 139
Energy of formation from the pure elements (eV per formula unit): -1.727
D(E_F) (states/eV per atom): 0.979
Density (g cm⁻³): 4.59

=====

A relaxed Mg3BiAu2 crystal, computed with PBE. Values from VASP.

Quantum ESPRESSO input file:
```
&SYSTEM
  ibrav = 0, nat = 6, ntyp = 3
/
ATOMIC_SPECIES
Au 196.97 Au.upf
Mg 24.30 Mg.upf
Bi 208.98 Bi.upf
CELL_PARAMETERS angstrom
-1.1779 3.1305 -0.4376
-0.2075 -0.5426 -3.3229
-10.4040 -3.7385 1.2600
ATOMIC_POSITIONS crystal
Au 0.5000 0.5000 0.1445
Au 0.5000 0.5000 0.8555
Mg 0.0000 0.0000 0.7155
Mg 0.0000 0.0000 0.2845
Mg 0.0000 0.0000 0.0000
Bi 0.5000 0.5000 0.5000
```

Space group: P4/mmm, No. 123
Energy of formation from the pure elements (eV per formula unit): -2.661
D(E_F) (states/eV per atom): 0.360
Density (g cm⁻³): 8.86

=====

A relaxed AcDyYEr crystal, computed with PBE. Values from VASP.

Quantum ESPRESSO input file:
```
&SYSTEM
  ibrav = 0, nat = 4, ntyp = 4
/
ATOMIC_SPECIES
Dy 162.50 Dy.upf
Er 167.26 Er.upf
Ac 227.00 Ac.upf
Y 88.91 Y.upf
CELL_PARAMETERS angstrom
-2.7946 0.1950 2.3925
2.8455 -2.2420 0.6705
6.4234 9.3226 3.9125
ATOMIC_POSITIONS crystal
Dy 0.1281 0.9622 0.1046
Er 0.3026 0.5490 0.8673
Ac 0.9692 0.3829 0.3677
Y 0.4779 0.1367 0.6301
```

Excess energy over the best structure of this formula in the dataset (eV per atom): 0.0000
Space group: R3m, No. 160
Energy of formation from the pure elements (eV per formula unit): 0.261
D(E_F) (states/eV per atom): 1.395
Density (g cm⁻³): 7.74

=====

A relaxed LiHo2MgTl4 crystal, computed with PBE. Values from VASP.

Quantum ESPRESSO input file:
```
&SYSTEM
  ibrav = 0, nat = 8, ntyp = 4
/
ATOMIC_SPECIES
Tl 204.38 Tl.upf
Mg 24.30 Mg.upf
Ho 164.93 Ho.upf
Li 6.94 Li.upf
CELL_PARAMETERS angstrom
5.2156 0.0000 0.0000
2.6078 4.5168 0.0000
2.6078 1.5056 8.4979
ATOMIC_POSITIONS crystal
Tl 0.1273 0.1273 0.6181
Tl 0.3776 0.3776 0.8672
Tl 0.8727 0.8727 0.3819
Tl 0.6224 0.6224 0.1328
Mg 0.0000 0.0000 0.0000
Ho 0.7485 0.7485 0.7545
Ho 0.2515 0.2515 0.2455
Li 0.5000 0.5000 0.5000
```

Space group: R-3m, No. 166
Energy of formation from the pure elements (eV per formula unit): -2.046
D(E_F) (states/eV per atom): 0.371
Density (g cm⁻³): 9.78

=====

A relaxed RbNa2HgPd crystal, computed with PBE. Values from VASP.

Quantum ESPRESSO input file:
```
&SYSTEM
  ibrav = 0, nat = 5, ntyp = 4
/
ATOMIC_SPECIES
Pd 106.42 Pd.upf
Rb 85.47 Rb.upf
Na 22.99 Na.upf
Hg 200.59 Hg.upf
CELL_PARAMETERS angstrom
5.5568 0.0000 0.0000
0.0000 5.5568 0.0000
0.0000 0.0000 5.4595
ATOMIC_POSITIONS crystal
Pd 0.0000 0.0000 0.0000
Rb 0.5000 0.5000 0.5000
Na 0.5000 0.0000 0.0000
Na 0.0000 0.5000 0.0000
Hg 0.0000 0.0000 0.5000
```

Excess energy over the best structure of this formula in the dataset (eV per atom): 0.0000
Space group: P4/mmm, No. 123
Energy of formation from the pure elements (eV per formula unit): -0.578
D(E_F) (states/eV per atom): 0.488
Density (g cm⁻³): 4.32

=====

Question: Which value of density does entry 11 give?
Answer: 9.78 g cm⁻³

=====

Question: Which formula does entry 3 have?
Answer: SmDySc4

=====

Question: What is the formula in the ninth record?
Answer: Mg3BiAu2